Below is BaSrIn2 after structural relaxation, with properties calculated at the PBE level.

Calculated values
- Energy relative to the elements: 298.8 meV/atom
- DFT total energy: -1.97 eV/atom
- Density of states at the Fermi level: 10.39 states/eV/cell

a = 3.815 Å, b = 6.563 Å, c = 13.936 Å
α = 90.00°, β = 90.00°, γ = 90.00°
Space group Immm (No. 71)
Symmetry-distinct sites (fractional):
Ba  0.000  0.000  0.000 (multiplicity 2)
Sr  0.000  0.000  0.500 (multiplicity 2)
In  0.000  0.000  0.253 (multiplicity 4)

***

Below is Y4ErTm6 after structural relaxation, with properties calculated at the PBE level.

Calculated values
- Energy relative to the elements: 297.8 meV/atom
- DFT total energy: -4.91 eV/atom
- Density of states at the Fermi level: 26.66 states/eV/cell

a = 6.510 Å, b = 6.510 Å, c = 16.874 Å
α = 90.00°, β = 90.00°, γ = 90.00°
Space group I-42m (No. 121)
Symmetry-distinct sites (fractional):
Y  0.187  0.187  0.326 (multiplicity 8)
Er  0.000  0.000  0.500 (multiplicity 2)
Tm  0.000  0.500  0.000 (multiplicity 4)
Tm  0.179  0.179  0.128 (multiplicity 8)

***

Below is CsCo after structural relaxation, with properties calculated at the PBE level.

Calculated values
- Energy relative to the elements: 1104.6 meV/atom
- DFT total energy: -2.88 eV/atom
- Density of states at the Fermi level: 42.30 states/eV/cell

a = 6.668 Å, b = 10.810 Å, c = 16.534 Å
α = 90.00°, β = 90.00°, γ = 90.00°
Space group Fddd (No. 70, origin choice 2)
Symmetry-distinct sites (fractional):
Cs  0.125  0.296  0.125 (multiplicity 16)
Co  0.125  0.125  0.562 (multiplicity 16)

***

Below is RbNa2CdBi after structural relaxation, with properties calculated at the PBE level.

Calculated values
- Energy relative to the elements: -102.2 meV/atom
- DFT total energy: -1.78 eV/atom
- Density of states at the Fermi level: 2.68 states/eV/cell

a = 6.077 Å, b = 6.077 Å, c = 6.108 Å
α = 90.00°, β = 90.00°, γ = 90.00°
Space group P4/mmm (No. 123)
Symmetry-distinct sites (fractional):
Rb  0.000  0.000  0.000 (multiplicity 1)
Na  0.000  0.500  0.500 (multiplicity 2)
Cd  0.500  0.500  0.000 (multiplicity 1)
Bi  0.500  0.500  0.500 (multiplicity 1)

***

Question: DFT total energy of number 3 (CsCo)?
Answer: -2.88 eV/atom

***

Question: Which of these has the lowest DFT total energy?
Answer: Y4ErTm6

***

Question: What is the energy relative to the elements in the third record?
Answer: 1104.6 meV/atom